No. 1
LaSmNiOs PBE relaxed; formation enthalpy at 0 K = -38.6 kJ/mol of formula units; DOS at the Fermi energy = 3.9 states/eV/cell; calculated volume = 21.74 A^3/atom
1.0
0.000 3.516 3.516
3.516 0.000 3.516
3.516 3.516 0.000
La Sm Ni Os
1 1 1 1
direct
0.000 0.000 0.000 La
0.500 0.500 0.500 Sm
0.250 0.250 0.250 Ni
0.750 0.750 0.750 Os



No. 2
BaZr2Sb PBE relaxed; DOS at the Fermi energy = 4.4 states/eV/cell; calculated volume = 31.44 A^3/atom; electronic total energy = -5.4627 eV per atom
1.0
-4.393 4.393 3.259
4.393 -4.393 3.259
4.393 4.393 -3.259
Ba Zr Sb
2 4 2
direct
0.000 0.000 0.000 Ba
0.750 0.250 0.500 Ba
0.182 0.625 0.057 Zr
0.375 0.432 0.557 Zr
0.568 0.125 0.943 Zr
0.875 0.818 0.443 Zr
0.250 0.750 0.500 Sb
0.500 0.500 0.000 Sb



No. 3
TlB2Rh2 PBE relaxed; formation enthalpy at 0 K = -34.3 kJ/mol of formula units; DOS at the Fermi energy = 2.8 states/eV/cell; calculated volume = 13.21 A^3/atom
1.0
-1.487 1.487 7.472
1.487 -1.487 7.472
1.487 1.487 -7.472
Tl B Rh
1 2 2
direct
0.000 0.000 0.000 Tl
0.250 0.750 0.500 B
0.750 0.250 0.500 B
0.353 0.353 0.000 Rh
0.647 0.647 0.000 Rh



No. 4
ZnCd2As PBE relaxed; E above lowest polymorph = 5.4 kJ per mole of atoms; formation enthalpy at 0 K = 53.9 kJ/mol of formula units; DOS at the Fermi energy = 3.2 states/eV/cell; calculated volume = 21.71 A^3/atom
1.0
-2.128 2.128 9.593
2.128 -2.128 9.593
2.128 2.128 -9.593
Zn Cd As
2 4 2
direct
0.000 0.000 0.000 Zn
0.750 0.250 0.500 Zn
0.111 0.625 0.986 Cd
0.375 0.361 0.486 Cd
0.639 0.125 0.014 Cd
0.875 0.889 0.514 Cd
0.250 0.750 0.500 As
0.500 0.500 0.000 As



No. 5
YPN2 PBE relaxed; DOS at the Fermi energy = 1.2 states/eV/cell; calculated volume = 12.15 A^3/atom; electronic total energy = -6.9099 eV per atom
1.0
1.454 0.840 6.635
-1.454 0.840 6.635
0.000 -1.679 6.635
Y P N
1 1 2
direct
0.000 0.000 0.000 Y
0.500 0.500 0.500 P
0.120 0.120 0.120 N
0.880 0.880 0.880 N



No. 6
La3Pm3In PBE relaxed; E above lowest polymorph = 13.7 kJ per mole of atoms; formation enthalpy at 0 K = 11.6 kJ/mol of formula units; DOS at the Fermi energy = 14.4 states/eV/cell; calculated volume = 34.44 A^3/atom
1.0
8.669 0.000 0.000
4.325 7.518 0.000
4.328 2.508 7.398
La Pm In
6 6 2
direct
0.054 0.081 0.157 La
0.208 0.554 0.157 La
0.419 0.292 0.843 La
0.581 0.708 0.157 La
0.792 0.446 0.843 La
0.946 0.919 0.843 La
0.207 0.196 0.667 Pm
0.304 0.069 0.333 Pm
0.430 0.707 0.667 Pm
0.570 0.293 0.333 Pm
0.696 0.931 0.667 Pm
0.793 0.804 0.333 Pm
0.162 0.662 0.514 In
0.838 0.338 0.486 In



No. 7
Li2Ho8Hg PBE relaxed; formation enthalpy at 0 K = 13.2 kJ/mol of formula units; DOS at the Fermi energy = 10.9 states/eV/cell; calculated volume = 27.74 A^3/atom
1.0
8.701 -2.640 0.000
8.701 2.640 0.000
-2.223 0.000 6.644
Li Ho Hg
2 8 1
direct
0.182 0.182 0.198 Li
0.818 0.818 0.802 Li
0.028 0.028 0.274 Ho
0.192 0.192 0.800 Ho
0.326 0.326 0.517 Ho
0.405 0.405 0.036 Ho
0.595 0.595 0.964 Ho
0.674 0.674 0.483 Ho
0.808 0.808 0.200 Ho
0.972 0.972 0.726 Ho
0.500 0.500 0.500 Hg



No. 8
Er2ThTe4 PBE relaxed; DOS at the Fermi energy = 8.8 states/eV/cell; calculated volume = 32.23 A^3/atom; electronic total energy = -5.3679 eV per atom
1.0
2.142 -7.113 0.000
2.142 7.113 0.000
0.000 0.000 14.809
Er Th Te
4 2 8
direct
0.135 0.865 0.566 Er
0.135 0.865 0.934 Er
0.865 0.135 0.066 Er
0.865 0.135 0.434 Er
0.374 0.626 0.750 Th
0.626 0.374 0.250 Th
0.039 0.961 0.750 Te
0.225 0.775 0.122 Te
0.225 0.775 0.378 Te
0.500 0.500 0.000 Te
0.500 0.500 0.500 Te
0.775 0.225 0.622 Te
0.775 0.225 0.878 Te
0.961 0.039 0.250 Te